Below is a relaxed Y6Er2Pu crystal, with properties calculated at the PBE level.

Cell lengths 7.3040, 7.3040, 19.0442 Å; angles 90.00, 90.00, 120.00 degrees
Space group R3m (No. 160, hexagonal axes)
Symmetry-distinct sites (fractional):
Y: 0.0068 0.5034 0.0000 [9 per cell]
Y: 0.0312 0.5156 0.8073 [9 per cell]
Er: 0.0000 0.0000 0.8149 [3 per cell]
Er: 0.0000 0.0000 0.9921 [3 per cell]
Pu: 0.0000 0.0000 0.5563 [3 per cell]

Values from the calculation:
Formation enthalpy at 0 K, eV/atom: 0.35
Distance to the lowest polymorph of the same formula, meV per atom: 258
Energy, eV per cell: -177.3

***

Below is a relaxed YEr2Pu crystal, with properties calculated at the PBE level.

Cell lengths 7.861, 7.861, 7.861 Å; angles 90.00, 90.00, 90.00 degrees
Space group Fm-3m (No. 225)
Symmetry-distinct sites (fractional):
Y: 0.000 0.000 0.000 [4 per cell]
Er: 0.250 0.250 0.250 [8 per cell]
Pu: 0.000 0.000 0.500 [4 per cell]

Values from the calculation:
Formation enthalpy at 0 K, eV/atom: 0.19
Distance to the lowest polymorph of the same formula, meV per atom: 99
Energy, eV per cell: -116.7

***

Below is a relaxed Y4Er3Pu crystal, with properties calculated at the PBE level.

Cell lengths 3.421, 11.523, 12.738 Å; angles 90.00, 90.00, 90.00 degrees
Space group Immm (No. 71)
Symmetry-distinct sites (fractional):
Y: 0.000 0.248 0.131 [8 per cell]
Er: 0.000 0.000 0.500 [2 per cell]
Er: 0.000 0.500 0.262 [4 per cell]
Pu: 0.000 0.000 0.000 [2 per cell]

Values from the calculation:
Formation enthalpy at 0 K, eV/atom: 0.16
Energy, eV per cell: -105.3